[1]
This record from the Alexandria database describes a relaxed Li2MgCo crystal. The functional is GGA-PBE.

Structure (POSCAR):
```
Li2MgCo
1.0
4.8895 -1.3926 0.0000
4.8895 1.3926 0.0000
-1.2288 0.0000 4.4776
Li Mg Co
2 1 1
direct
0.2329 0.2329 0.2229
0.7671 0.7671 0.7771
0.0000 0.0000 0.5000
0.5000 0.5000 0.0000
```

Output
The formation energy from the elements is 0.158 eV/atom. The calculation puts the total energy at -2.974 eV per atom. Its symmetry is No. 12.

[2]
This record from the Alexandria database describes a relaxed Li2MgCo crystal. The functional is GGA-PBE.

Structure (POSCAR):
```
Li2MgCo
1.0
3.8041 0.0000 0.0000
0.0000 3.8041 0.0000
0.0000 0.0000 4.1978
Li Mg Co
2 1 1
direct
0.0000 0.5000 0.0000
0.5000 0.0000 0.0000
0.0000 0.0000 0.5000
0.5000 0.5000 0.5000
```

Output
The formation energy from the elements is 0.201 eV/atom. The calculation puts the total energy at -2.931 eV per atom. Its symmetry is No. 123.

[3]
This record from the Alexandria database describes a relaxed Li2MgCo crystal. The functional is GGA-PBE.

Structure (POSCAR):
```
Li2MgCo
1.0
2.7185 0.0000 0.0000
0.0000 4.6472 0.0000
-0.4499 0.0000 4.8111
Li Mg Co
2 1 1
direct
0.2217 0.0000 0.2777
0.7783 0.0000 0.7223
0.5000 0.5000 0.0000
0.0000 0.5000 0.5000
```

Output
The formation energy from the elements is 0.175 eV/atom. The calculation puts the total energy at -2.957 eV per atom. Its symmetry is No. 10.

[4]
This record from the Alexandria database describes a relaxed LiMg6Co crystal. The functional is GGA-PBE.

Structure (POSCAR):
```
LiMg6Co
1.0
4.6032 0.0000 0.0000
0.0000 3.5614 4.7311
0.0000 -3.5614 4.7311
Li Mg Co
1 6 1
direct
0.0000 0.0000 0.0000
0.0000 0.4802 0.4802
0.0000 0.5269 0.9509
0.0000 0.9509 0.5269
0.5000 0.2035 0.7458
0.5000 0.2357 0.2357
0.5000 0.7458 0.2035
0.5000 0.7104 0.7104
```

Output
The value obtained for the polymorph energy (0 for the lowest one) is 20 meV per atom. The formation energy from the elements is 0.077 eV/atom. The calculation puts the total energy at -2.246 eV per atom. Its symmetry is No. 38.

[5]
This record from the Alexandria database describes a relaxed Li2Mg2Co crystal. The functional is GGA-PBE.

Structure (POSCAR):
```
Li2Mg2Co
1.0
6.2906 0.0000 0.0000
0.0000 6.2906 0.0000
0.0000 0.0000 4.1920
Li Mg Co
4 4 2
direct
0.1330 0.3670 0.0000
0.3670 0.8670 0.0000
0.6330 0.1330 0.0000
0.8670 0.6330 0.0000
0.1863 0.6863 0.5000
0.3137 0.1863 0.5000
0.6863 0.8137 0.5000
0.8137 0.3137 0.5000
0.0000 0.0000 0.0000
0.5000 0.5000 0.0000
```

Output
The value obtained for the polymorph energy (0 for the lowest one) is 0 meV per atom. The formation energy from the elements is 0.270 eV/atom. The calculation puts the total energy at -2.554 eV per atom. Its symmetry is No. 127.

[6]
This record from the Alexandria database describes a relaxed Li2MgCo crystal. The functional is GGA-PBE.

Structure (POSCAR):
```
Li2MgCo
1.0
-1.3983 2.2939 4.7932
1.3983 -2.2939 4.7932
1.3983 2.2939 -4.7932
Li Mg Co
2 1 1
direct
0.2267 0.2267 0.0000
0.7733 0.7733 0.0000
0.5000 0.0000 0.5000
0.0000 0.5000 0.5000
```

Output
The formation energy from the elements is 0.162 eV/atom. The calculation puts the total energy at -2.970 eV per atom. Its symmetry is No. 71.

[7]
This record from the Alexandria database describes a relaxed Li2MgCo crystal. The functional is GGA-PBE.

Structure (POSCAR):
```
Li2MgCo
1.0
2.8543 0.0000 0.0000
0.0000 4.4972 0.0000
0.0000 0.0000 4.7275
Li Mg Co
2 1 1
direct
0.0000 0.0000 0.0000
0.5000 0.5000 0.0000
0.0000 0.5000 0.5000
0.5000 0.0000 0.5000
```

Output
The formation energy from the elements is 0.190 eV/atom. The calculation puts the total energy at -2.942 eV per atom. Its symmetry is No. 47.

[8]
This record from the Alexandria database describes a relaxed Li2MgCo crystal. The functional is GGA-PBE.

Structure (POSCAR):
```
Li2MgCo
1.0
2.7185 0.0000 0.0000
0.0000 2.7185 0.0000
0.0000 0.0000 8.5257
Li Mg Co
2 1 1
direct
0.0000 0.0000 0.2148
0.0000 0.0000 0.7852
0.5000 0.5000 0.5000
0.5000 0.5000 0.0000
```

Output
The formation energy from the elements is 0.241 eV/atom. The calculation puts the total energy at -2.891 eV per atom. Its symmetry is No. 123.

[9]
This record from the Alexandria database describes a relaxed LiMg6Co crystal. The functional is GGA-PBE.

Structure (POSCAR):
```
LiMg6Co
1.0
4.7101 -4.7434 0.0000
4.7101 4.7434 0.0000
0.0000 0.0000 3.5221
Li Mg Co
1 6 1
direct
0.0000 0.0000 0.0000
0.0000 0.5000 0.0000
0.2745 0.2745 0.5000
0.2751 0.7249 0.5000
0.5000 0.0000 0.0000
0.7249 0.2751 0.5000
0.7255 0.7255 0.5000
0.5000 0.5000 0.0000
```

Output
The value obtained for the polymorph energy (0 for the lowest one) is 0 meV per atom. The formation energy from the elements is 0.057 eV/atom. The calculation puts the total energy at -2.266 eV per atom. Its symmetry is No. 65.

[10]
This record from the Alexandria database describes a relaxed Li2MgCo crystal. The functional is GGA-PBE.

Structure (POSCAR):
```
Li2MgCo
1.0
1.3800 0.7968 9.4580
-1.3800 0.7968 9.4580
0.0000 -1.5935 9.4580
Li Mg Co
2 1 1
direct
0.2407 0.2407 0.2407
0.7593 0.7593 0.7593
0.0000 0.0000 0.0000
0.5000 0.5000 0.5000
```

Output
The formation energy from the elements is 0.204 eV/atom. The calculation puts the total energy at -2.928 eV per atom. Its symmetry is No. 166.

[11]
This record from the Alexandria database describes a relaxed LiMg14Co crystal. The functional is GGA-PBE.

Structure (POSCAR):
```
LiMg14Co
1.0
8.6122 0.0000 0.0000
0.0000 4.3894 4.4804
0.0000 -4.3894 4.4804
Li Mg Co
1 14 1
direct
0.0000 0.0000 0.0000
0.0000 0.0003 0.4999
0.0000 0.4999 0.0003
0.2346 0.2579 0.7417
0.2346 0.7417 0.2579
0.2370 0.2563 0.2563
0.2368 0.7432 0.7432
0.5000 0.9998 0.9998
0.5000 0.9998 0.5000
0.5000 0.5000 0.9998
0.5000 0.4998 0.4998
0.7630 0.2563 0.2563
0.7632 0.7432 0.7432
0.7654 0.2579 0.7417
0.7654 0.7417 0.2579
0.0000 0.4993 0.4993
```

Output
The value obtained for the polymorph energy (0 for the lowest one) is 6 meV per atom. The formation energy from the elements is 0.050 eV/atom. The calculation puts the total energy at -1.909 eV per atom. Its symmetry is No. 38.

[12]
This record from the Alexandria database describes a relaxed LiMgCo crystal. The functional is GGA-PBE.

Structure (POSCAR):
```
LiMgCo
1.0
4.8001 -1.9888 0.0000
4.8001 1.9888 0.0000
-0.3921 0.0000 5.1220
Li Mg Co
2 2 2
direct
0.0557 0.0557 0.2837
0.9443 0.9443 0.7163
0.3540 0.3540 0.1315
0.6460 0.6460 0.8685
0.2656 0.2656 0.6022
0.7344 0.7344 0.3978
```

Output
The value obtained for the polymorph energy (0 for the lowest one) is 0 meV per atom. The formation energy from the elements is 0.159 eV/atom. The calculation puts the total energy at -3.379 eV per atom. Its symmetry is No. 12.

[13]
This record from the Alexandria database describes a relaxed Li2MgCo crystal. The functional is GGA-PBE.

Structure (POSCAR):
```
Li2MgCo
1.0
1.5512 -2.2038 0.0000
1.5512 2.2038 0.0000
0.0000 0.0000 9.2075
Li Mg Co
2 1 1
direct
0.0000 0.0000 0.2187
0.0000 0.0000 0.7813
0.5000 0.5000 0.5000
0.5000 0.5000 0.0000
```

Output
The formation energy from the elements is 0.218 eV/atom. The calculation puts the total energy at -2.914 eV per atom. Its symmetry is No. 65.

[14]
This record from the Alexandria database describes a relaxed Li2MgCo crystal. The functional is GGA-PBE.

Structure (POSCAR):
```
Li2MgCo
1.0
4.5332 -1.3584 0.0000
4.5332 1.3584 0.0000
-0.7170 0.0000 5.0112
Li Mg Co
2 1 1
direct
0.0000 0.0000 0.0000
0.2433 0.2433 0.7704
0.4843 0.4843 0.4632
0.7400 0.7400 0.2616
```

Output
The formation energy from the elements is 0.206 eV/atom. The calculation puts the total energy at -2.926 eV per atom. Its symmetry is No. 8.

[15]
This record from the Alexandria database describes a relaxed Li2MgCo crystal. The functional is GGA-PBE.

Structure (POSCAR):
```
Li2MgCo
1.0
1.9873 -1.9990 0.0000
1.9873 1.9990 0.0000
0.0000 0.0000 8.1136
Li Mg Co
2 1 1
direct
0.0000 0.0000 0.0000
0.5000 0.5000 0.2779
0.5000 0.5000 0.7086
0.0000 0.0000 0.4872
```

Output
The formation energy from the elements is 0.172 eV/atom. The calculation puts the total energy at -2.960 eV per atom. Its symmetry is No. 35.

[16]
This record from the Alexandria database describes a relaxed LiMgCo crystal. The functional is GGA-PBE.

Structure (POSCAR):
```
LiMgCo
1.0
0.0000 3.0395 3.0395
3.0395 0.0000 3.0395
3.0395 3.0395 0.0000
Li Mg Co
1 1 1
direct
0.0000 0.0000 0.0000
0.5000 0.5000 0.5000
0.7500 0.7500 0.7500
```

Output
The value obtained for the polymorph energy (0 for the lowest one) is 433 meV per atom. The formation energy from the elements is 0.592 eV/atom. The calculation puts the total energy at -2.946 eV per atom. Its symmetry is No. 216.

[17]
This record from the Alexandria database describes a relaxed LiMgCo crystal. The functional is GGA-PBE.

Structure (POSCAR):
```
LiMgCo
1.0
-1.3449 1.9760 4.1069
1.3449 -1.9760 4.1069
1.3449 1.9760 -4.1069
Li Mg Co
1 1 1
direct
0.0000 0.0000 0.0000
0.6783 0.6783 0.0000
0.3402 0.3402 0.0000
```

Output
The value obtained for the polymorph energy (0 for the lowest one) is 54 meV per atom. The formation energy from the elements is 0.214 eV/atom. The calculation puts the total energy at -3.324 eV per atom. Its symmetry is No. 44.

[18]
This record from the Alexandria database describes a relaxed Li2MgCo crystal. The functional is GGA-PBE.

Structure (POSCAR):
```
Li2MgCo
1.0
3.2238 0.0000 0.0000
0.0000 3.2238 0.0000
0.0000 0.0000 5.8637
Li Mg Co
2 1 1
direct
0.0000 0.0000 0.2073
0.0000 0.0000 0.7927
0.5000 0.5000 0.5000
0.5000 0.5000 0.0000
```

Output
The formation energy from the elements is 0.277 eV/atom. The calculation puts the total energy at -2.855 eV per atom. Its symmetry is No. 123.

[19]
This record from the Alexandria database describes a relaxed Li2Mg2Co crystal. The functional is GGA-PBE.

Structure (POSCAR):
```
Li2Mg2Co
1.0
-2.4672 2.4672 3.4215
2.4672 -2.4672 3.4215
2.4672 2.4672 -3.4215
Li Mg Co
2 2 1
direct
0.1525 0.1525 0.0000
0.8475 0.8475 0.0000
0.2500 0.7500 0.5000
0.7500 0.2500 0.5000
0.5000 0.5000 0.0000
```

Output
The value obtained for the polymorph energy (0 for the lowest one) is 148 meV per atom. The formation energy from the elements is 0.419 eV/atom. The calculation puts the total energy at -2.406 eV per atom. Its symmetry is No. 139.

[20]
This record from the Alexandria database describes a relaxed Li2MgCo crystal. The functional is GGA-PBE.

Structure (POSCAR):
```
Li2MgCo
1.0
-1.8898 1.8898 4.2476
1.8898 -1.8898 4.2476
1.8898 1.8898 -4.2476
Li Mg Co
2 1 1
direct
0.2500 0.7500 0.5000
0.7500 0.2500 0.5000
0.0000 0.0000 0.0000
0.5000 0.5000 0.0000
```

Output
The formation energy from the elements is 0.224 eV/atom. The calculation puts the total energy at -2.908 eV per atom. Its symmetry is No. 139.